Record 1
First-principles (PBE-GGA) data for Rb2AsI6F after structural relaxation, as listed in Alexandria.

crystal system	tetragonal
uncorrected energy	-24.9	eV per cell
formation energy (no corrections)	-0.718	eV/atom

Cell lengths 8.0645, 8.0645, 8.0597 Å; angles 59.98, 59.98, 90.00 degrees
Last column: nearest neighbours and their distance in Å.
Element x y z (fractional)
I1 0.2456 0.2456 0.0000  1 As 2.80, 1 F 2.90
I2 0.7544 0.2456 0.0000  1 As 2.80, 1 F 2.90
I3 0.2457 0.2457 0.5086  1 As 2.80, 1 F 2.90
Rb1 0.7500 0.2500 0.5000  12 I 4.03
I4 0.2456 0.7544 0.0000  1 As 2.80, 1 F 2.90
Rb2 0.2500 0.7500 0.5000  12 I 4.03
As1 0.0000 0.0000 0.0000  6 I 2.80
I5 0.7543 0.7543 0.4914  1 As 2.80, 1 F 2.90
I6 0.7544 0.7544 0.0000  1 As 2.80, 1 F 2.90
F1 0.5000 0.5000 0.0000  6 I 2.90

Record 2
First-principles (PBE-GGA) data for AlV5Mo6 after structural relaxation, as listed in Alexandria.

crystal system	orthorhombic
uncorrected energy	-115.5	eV per cell
formation enthalpy at 0 K	-98	meV/atom

Cell lengths 4.4582, 5.1557, 8.5551 Å; angles 90.00, 90.00, 64.38 degrees
Last column: nearest neighbours and their distance in Å.
Element x y z (fractional)
V1 0.3374 0.3253 0.5000  4 Mo 2.62-2.64, 4 V 2.69-2.76
Al1 0.0000 0.0000 0.0000  4 Mo 2.68, 4 V 2.76
Mo1 0.8325 0.3351 0.7447  3 V 2.61-2.63, 1 Al 2.68, 4 Mo 2.71-2.72
V2 0.3244 0.3513 0.0000  2 V 2.62, 4 Mo 2.63-2.67, 2 Al 2.76
Mo2 0.1676 0.6649 0.7447  3 V 2.61-2.63, 1 Al 2.68, 4 Mo 2.71-2.72
V3 0.6626 0.6747 0.5000  4 Mo 2.62-2.64, 4 V 2.69-2.76
Mo3 0.1675 0.6649 0.2553  3 V 2.61-2.63, 1 Al 2.68, 4 Mo 2.71-2.72
Mo4 0.4999 0.0000 0.2466  4 V 2.64-2.67, 4 Mo 2.72
Mo5 0.5001 0.0000 0.7534  4 V 2.64-2.67, 4 Mo 2.72
Mo6 0.8324 0.3351 0.2553  3 V 2.61-2.63, 1 Al 2.68, 4 Mo 2.71-2.72
V4 0.0000 0.0000 0.5000  4 Mo 2.61, 4 V 2.69
V5 0.6756 0.6487 0.0000  2 V 2.62, 4 Mo 2.63-2.67, 2 Al 2.76

Record 3
First-principles (PBE-GGA) data for Ac3Pm3PrTe8 after structural relaxation, as listed in Alexandria.

crystal system	trigonal
uncorrected energy	-78.7	eV per cell
formation energy (no corrections)	-1.483	eV/atom

Cell lengths 9.0899, 9.0902, 9.2304 Å; angles 119.50, 90.00, 120.00 degrees
Last column: nearest neighbours and their distance in Å.
Element x y z (fractional)
Pm1 0.5000 0.5000 0.5000  6 Te 3.17
Pm2 0.0000 0.5000 0.5000  6 Te 3.17
Ac1 0.0000 0.5000 0.0000  6 Te 3.31
Te1 0.7444 0.4888 0.7332  3 Pm 3.17, 3 Ac 3.31
Te2 0.2527 0.5055 0.7416  2 Pm 3.17, 1 Pr 3.27, 2 Ac 3.31
Ac2 0.5000 0.5000 0.0000  6 Te 3.31
Te3 0.2638 0.0111 0.2584  2 Pm 3.17, 1 Pr 3.27, 2 Ac 3.31
Te4 0.2556 0.5112 0.2668  3 Pm 3.17, 3 Ac 3.31
Pm3 0.5000 0.0000 0.5000  6 Te 3.17
Te5 0.2527 0.9889 0.7416  2 Pm 3.17, 1 Pr 3.27, 2 Ac 3.31
Ac3 0.0000 0.0000 0.0000  6 Te 3.31
Pr1 0.0000 0.0000 0.5000  6 Te 3.27
Te6 0.7473 0.4945 0.2584  2 Pm 3.17, 1 Pr 3.27, 2 Ac 3.31
Te7 0.7473 0.0111 0.2584  2 Pm 3.17, 1 Pr 3.27, 2 Ac 3.31
Te8 0.7362 0.9889 0.7416  2 Pm 3.17, 1 Pr 3.27, 2 Ac 3.31

Record 4
First-principles (PBE-GGA) data for ScRh3Pb after structural relaxation, as listed in Alexandria.

energy above the most stable polymorph in this dataset	0.0	kJ/mol of formula units
crystal system	cubic
uncorrected energy	-29.6	eV per cell
formation enthalpy at 0 K	506	meV/atom

Cell lengths 4.6983, 4.6983, 4.6983 Å; angles 90.00, 90.00, 90.00 degrees
Last column: nearest neighbours and their distance in Å.
Element x y z (fractional)
Rh1 0.0000 0.0000 0.5000  2 Sc 2.35
Rh2 0.0000 0.5000 0.0000  2 Sc 2.35
Pb1 0.5000 0.5000 0.5000  12 Rh 3.32
Sc1 0.0000 0.0000 0.0000  6 Rh 2.35
Rh3 0.5000 0.0000 0.0000  2 Sc 2.35

Record 5
First-principles (PBE-GGA) data for CaVRe2As after structural relaxation, as listed in Alexandria.

crystal system	tetragonal
uncorrected energy	-33.5	eV per cell
formation enthalpy at 0 K	1424	meV/atom

Cell lengths 4.5981, 5.0349, 4.5981 Å; angles 90.00, 90.00, 90.00 degrees
Last column: nearest neighbours and their distance in Å.
Element x y z (fractional)
Re1 0.5000 0.0000 0.0000  2 As 2.30
As1 0.0000 0.0000 0.0000  4 Re 2.30, 2 Ca 2.52
Ca1 0.0000 0.5000 0.0000  2 As 2.52
Re2 0.0000 0.0000 0.5000  2 As 2.30
V1 0.5000 0.5000 0.5000  4 Ca 3.25, 8 Re 3.41

Record 6
First-principles (PBE-GGA) data for MnBeIr2 after structural relaxation, as listed in Alexandria.

crystal system	monoclinic
uncorrected energy	-63.2	eV per cell
formation enthalpy at 0 K	-243	meV/atom

Cell lengths 2.8035, 4.1216, 8.8663 Å; angles 90.01, 99.06, 90.00 degrees
Last column: nearest neighbours and their distance in Å.
Element x y z (fractional)
Mn1 0.6967 0.7502 0.3947  5 Ir 2.48-2.57
Ir1 0.1606 0.2502 0.3223  2 Be 2.43, 5 Mn 2.48-2.57, 2 Ir 2.71
Ir2 0.9398 0.2498 0.8791  6 Be 2.36-2.50
Be1 0.5479 0.2504 0.0962  8 Ir 2.36-2.50
Be2 0.4521 0.7496 0.9038  8 Ir 2.36-2.50
Ir3 0.8394 0.7498 0.6777  2 Be 2.43, 5 Mn 2.48-2.57, 2 Ir 2.71
Ir4 0.0602 0.7502 0.1209  6 Be 2.36-2.50
Mn2 0.3033 0.2498 0.6053  5 Ir 2.48-2.57

Record 7
First-principles (PBE-GGA) data for InWBr after structural relaxation, as listed in Alexandria.

energy above the most stable polymorph in this dataset	101.5	kJ/mol of formula units
crystal system	hexagonal
uncorrected energy	-14.7	eV per cell
formation energy (no corrections)	0.872	eV/atom

Cell lengths 4.7441, 4.7441, 3.0455 Å; angles 90.00, 90.00, 120.00 degrees
Last column: nearest neighbours and their distance in Å.
Element x y z (fractional)
In1 0.6667 0.3333 0.3333  2 In 3.05, 6 Br 3.13, 6 W 3.13
Br1 0.0000 0.0000 0.8331  3 W 2.74, 2 Br 3.05
W1 0.3333 0.6667 0.8333  3 Br 2.74, 2 W 3.05

Record 8
First-principles (PBE-GGA) data for Sb2PdPt5 after structural relaxation, as listed in Alexandria.

energy above the most stable polymorph in this dataset	25.6	kJ/mol of formula units
crystal system	monoclinic
uncorrected energy	-180.2	eV per cell
formation energy (no corrections)	-0.175	eV/atom

Cell lengths 4.6004, 15.0218, 9.0648 Å; angles 90.00, 104.87, 90.00 degrees
Last column: nearest neighbours and their distance in Å.
Element x y z (fractional)
Pt1 0.2397 0.5008 0.8807  4 Sb 2.72-2.76, 4 Pt 2.78-2.87
Pt2 0.7732 0.6907 0.6258  2 Sb 2.66-2.69, 4 Pt 2.78-2.87, 2 Pd 2.79-2.90
Pt3 0.7390 0.1891 0.3670  2 Sb 2.66-2.69, 2 Pd 2.77-2.86, 4 Pt 2.79-2.89
Sb1 0.2343 0.0984 0.3632  7 Pt 2.66-2.76, 1 Pd 2.67
Pt4 0.2575 0.6917 0.8829  2 Sb 2.66-2.69, 5 Pt 2.78-2.89, 2 Pd 2.86
Pt5 0.2603 0.0008 0.6193  4 Sb 2.72-2.76, 4 Pt 2.78-2.87
Pt6 0.2299 0.5005 0.3840  4 Sb 2.69-2.76, 3 Pt 2.79-2.87, 1 Pd 2.93
Sb2 0.7343 0.4016 0.8632  7 Pt 2.66-2.76, 1 Pd 2.67
Pd1 0.7420 0.3046 0.6177  2 Sb 2.67-2.69, 7 Pt 2.77-2.93
Pt7 0.2732 0.8093 0.1258  2 Sb 2.66-2.69, 4 Pt 2.78-2.87, 2 Pd 2.79-2.90
Sb3 0.7825 0.9000 0.1361  7 Pt 2.66-2.76, 1 Pd 2.69
Sb4 0.7657 0.9016 0.6368  7 Pt 2.66-2.76, 1 Pd 2.67
Sb5 0.2825 0.6000 0.6361  7 Pt 2.66-2.76, 1 Pd 2.69
Pt8 0.2268 0.3093 0.3742  2 Sb 2.66-2.69, 4 Pt 2.78-2.87, 2 Pd 2.79-2.90
Pt9 0.2701 0.0005 0.1160  4 Sb 2.69-2.76, 3 Pt 2.79-2.87, 1 Pd 2.93
Pt10 0.7397 0.9992 0.3807  4 Sb 2.72-2.76, 4 Pt 2.78-2.87
Sb6 0.2175 0.1000 0.8639  7 Pt 2.66-2.76, 1 Pd 2.69
Pd2 0.2420 0.1954 0.1177  2 Sb 2.67-2.69, 7 Pt 2.77-2.93
Pd3 0.2580 0.6954 0.3823  2 Sb 2.67-2.69, 7 Pt 2.77-2.93
Pt11 0.2425 0.1917 0.6171  2 Sb 2.66-2.69, 5 Pt 2.78-2.89, 2 Pd 2.86
Pt12 0.7299 0.9995 0.8840  4 Sb 2.69-2.76, 3 Pt 2.79-2.87, 1 Pd 2.93
Pt13 0.2610 0.8109 0.6330  2 Sb 2.66-2.69, 2 Pd 2.77-2.86, 4 Pt 2.79-2.89
Sb7 0.7175 0.4000 0.3639  7 Pt 2.66-2.76, 1 Pd 2.69
Pt14 0.7701 0.4995 0.6160  4 Sb 2.69-2.76, 3 Pt 2.79-2.87, 1 Pd 2.93
Pt15 0.7603 0.4992 0.1193  4 Sb 2.72-2.76, 4 Pt 2.78-2.87
Sb8 0.2657 0.5984 0.1368  7 Pt 2.66-2.76, 1 Pd 2.67
Pt16 0.2390 0.3109 0.8670  2 Sb 2.66-2.69, 2 Pd 2.77-2.86, 4 Pt 2.79-2.89
Pd4 0.7580 0.8046 0.8823  2 Sb 2.67-2.69, 7 Pt 2.77-2.93
Pt17 0.7610 0.6891 0.1330  2 Sb 2.66-2.69, 2 Pd 2.77-2.86, 4 Pt 2.79-2.89
Pt18 0.7425 0.3083 0.1171  2 Sb 2.66-2.69, 5 Pt 2.78-2.89, 2 Pd 2.86
Pt19 0.7268 0.1907 0.8742  2 Sb 2.66-2.69, 4 Pt 2.78-2.87, 2 Pd 2.79-2.90
Pt20 0.7575 0.8083 0.3829  2 Sb 2.66-2.69, 5 Pt 2.78-2.89, 2 Pd 2.86

Record 9
First-principles (PBE-GGA) data for LaZr2W after structural relaxation, as listed in Alexandria.

energy above the most stable polymorph in this dataset	83.9	kJ/mol of formula units
crystal system	monoclinic
uncorrected energy	-33.4	eV per cell
formation enthalpy at 0 K	393	meV/atom

Cell lengths 4.9256, 4.9256, 6.5671 Å; angles 86.51, 86.51, 36.01 degrees
Last column: nearest neighbours and their distance in Å.
Element x y z (fractional)
Zr1 0.9911 0.9911 0.0417  3 W 2.86-2.98, 4 Zr 3.05-3.14, 1 La 3.05
Zr2 0.5089 0.5089 0.4583  3 W 2.86-2.98, 4 Zr 3.05-3.14, 1 La 3.05
W1 0.2500 0.2500 0.2500  6 Zr 2.86-2.98, 2 W 3.05
La1 0.7500 0.7500 0.7500  2 La 3.05, 6 Zr 3.05-3.36

Record 10
First-principles (PBE-GGA) data for LaFeCl after structural relaxation, as listed in Alexandria.

crystal system	cubic
uncorrected energy	-15.6	eV per cell
formation energy (no corrections)	-0.114	eV/atom

Cell lengths 4.7369, 4.7369, 4.7369 Å; angles 60.00, 60.00, 60.00 degrees
Last column: nearest neighbours and their distance in Å.
Element x y z (fractional)
La1 0.5000 0.5000 0.5000  4 Cl 2.90
Fe1 0.0000 0.0000 0.0000  4 Cl 2.90
Cl1 0.7500 0.7500 0.7500  4 La 2.90, 4 Fe 2.90

Record 11
First-principles (PBE-GGA) data for Pm6AuS5 after structural relaxation, as listed in Alexandria.

crystal system	monoclinic
uncorrected energy	-74.3	eV per cell
formation energy (no corrections)	-1.827	eV/atom

Cell lengths 7.0659, 7.0659, 7.0563 Å; angles 99.59, 99.59, 120.03 degrees
Last column: nearest neighbours and their distance in Å.
Element x y z (fractional)
S1 0.8354 0.1646 0.5000  6 Pm 2.82-2.89
Pm1 0.5712 0.9159 0.7445  5 S 2.82-2.90, 1 Au 2.97
Pm2 0.0841 0.4288 0.2555  5 S 2.82-2.90, 1 Au 2.97
S2 0.5000 0.5000 0.5000  6 Pm 2.80-2.90
Pm3 0.9159 0.5712 0.7445  5 S 2.82-2.90, 1 Au 2.97
Pm4 0.7416 0.7416 0.2554  5 S 2.80-2.88, 1 Au 2.96
Au1 0.0000 0.0000 0.0000  6 Pm 2.96-2.97
S3 0.3339 0.6661 0.0000  6 Pm 2.87-2.88
S4 0.1646 0.8354 0.5000  6 Pm 2.82-2.89
Pm5 0.2584 0.2584 0.7446  5 S 2.80-2.88, 1 Au 2.96
S5 0.6661 0.3339 0.0000  6 Pm 2.87-2.88
Pm6 0.4288 0.0841 0.2555  5 S 2.82-2.90, 1 Au 2.97